Entry 1:
# La2ScSi (GGA-PBE, relaxed)
data_La2ScSi
_space_group_name_H-M_alt 'F -4 3 m'
_space_group_IT_number 216
_space_group_name_Hall 'F -4 2 3'
_cell_length_a 7.3879
_cell_length_b 7.3879
_cell_length_c 7.3879
_cell_angle_alpha 90.00
_cell_angle_beta 90.00
_cell_angle_gamma 90.00
loop_
_atom_site_label
_atom_site_fract_x
_atom_site_fract_y
_atom_site_fract_z
La1 0.0000 0.0000 0.0000
La2 0.2500 0.2500 0.2500
Sc1 0.2500 0.2500 0.7500
Si1 0.0000 0.0000 0.5000
# uncorrected formation energy	-0.039	eV per atom
# Fermi-level density of states	26.83	states/eV per cell

---

Entry 2:
# LaSc4Si4 (GGA-PBE, relaxed)
data_LaSc4Si4
_space_group_name_H-M_alt 'P 42/n'
_space_group_IT_number 86
_cell_length_a 8.8890
_cell_length_b 8.8890
_cell_length_c 5.3089
_cell_angle_alpha 90.00
_cell_angle_beta 90.00
_cell_angle_gamma 90.00
loop_
_space_group_symop_operation_xyz
'x,y,z'
'-x,-y,-z'
'-y,x+1/2,z+1/2'
'y,-x+1/2,-z+1/2'
'-x+1/2,-y+1/2,z'
'x+1/2,y+1/2,-z'
'y+1/2,-x,z+1/2'
'-y+1/2,x,-z+1/2'
loop_
_atom_site_label
_atom_site_fract_x
_atom_site_fract_y
_atom_site_fract_z
La1 0.2500 0.2500 0.2500
Sc1 0.1169 0.6304 0.1315
Si1 0.0703 0.5725 0.6443
# uncorrected formation energy	-0.572	eV per atom
# Fermi-level density of states	13.61	states/eV per cell

---

Entry 3:
# LaScSi2 (GGA-PBE, relaxed)
data_LaScSi2
_space_group_name_H-M_alt 'P 4/m m m'
_space_group_IT_number 123
_space_group_name_Hall '-P 4 2'
_cell_length_a 3.2671
_cell_length_b 3.2671
_cell_length_c 7.8755
_cell_angle_alpha 90.00
_cell_angle_beta 90.00
_cell_angle_gamma 90.00
loop_
_atom_site_label
_atom_site_fract_x
_atom_site_fract_y
_atom_site_fract_z
La1 0.0000 0.0000 0.0000
Sc1 0.0000 0.0000 0.5000
Si1 0.5000 0.5000 0.2750
# uncorrected formation energy	-0.461	eV per atom
# Fermi-level density of states	3.24	states/eV per cell

---

Entry 4:
# LaScSi2 (GGA-PBE, relaxed)
data_LaScSi2
_space_group_name_H-M_alt 'P 1 2/m 1'
_space_group_IT_number 10
_cell_length_a 3.4054
_cell_length_b 4.8658
_cell_length_c 5.6417
_cell_angle_alpha 90.00
_cell_angle_beta 102.41
_cell_angle_gamma 90.00
loop_
_space_group_symop_operation_xyz
'x,y,z'
'-x,-y,-z'
'-x,y,-z'
'x,-y,z'
loop_
_atom_site_label
_atom_site_fract_x
_atom_site_fract_y
_atom_site_fract_z
La1 0.0000 0.0000 0.0000
Sc1 0.0000 0.5000 0.5000
Si1 0.5000 0.0000 0.5000
Si2 0.5000 0.5000 0.0000
# uncorrected formation energy	-0.344	eV per atom
# Fermi-level density of states	2.84	states/eV per cell

---

Entry 5:
# La5Sc4Si4 (GGA-PBE, relaxed)
data_La5Sc4Si4
_space_group_name_H-M_alt 'I 4/m'
_space_group_IT_number 87
_space_group_name_Hall '-I 4'
_cell_length_a 12.4837
_cell_length_b 12.4837
_cell_length_c 4.3323
_cell_angle_alpha 90.00
_cell_angle_beta 90.00
_cell_angle_gamma 90.00
loop_
_atom_site_label
_atom_site_fract_x
_atom_site_fract_y
_atom_site_fract_z
La1 0.0000 0.0000 0.0000
La2 0.1301 0.7990 0.5000
Sc1 0.0868 0.4004 0.5000
Si1 0.0621 0.2545 0.0000
# uncorrected formation energy	-0.524	eV per atom
# Fermi-level density of states	35.32	states/eV per cell

---

Entry 6:
# La2Sc2Si (GGA-PBE, relaxed)
data_La2Sc2Si
_space_group_name_H-M_alt 'P 4/m b m'
_space_group_IT_number 127
_space_group_name_Hall '-P 4 2ab'
_cell_length_a 7.3545
_cell_length_b 7.3545
_cell_length_c 4.9706
_cell_angle_alpha 90.00
_cell_angle_beta 90.00
_cell_angle_gamma 90.00
loop_
_atom_site_label
_atom_site_fract_x
_atom_site_fract_y
_atom_site_fract_z
La1 0.1603 0.3397 0.0000
Sc1 0.1518 0.6518 0.5000
Si1 0.0000 0.0000 0.5000
# uncorrected formation energy	-0.153	eV per atom
# Fermi-level density of states	11.86	states/eV per cell

---

- Look up the uncorrected formation energy of the fourth one.
  -0.344 eV per atom